# GGA-PBE Ac2HoZrS6, optimized geometry
# Crystal system: monoclinic
# E: -6.496 eV per atom
data_Ac2HoZrS6
_chemical_formula_sum 'Ac4 Ho2 Zr2 S12'
_cell_length_a 10.1805
_cell_length_b 10.4012
_cell_length_c 7.0074
_cell_angle_alpha 90.00
_cell_angle_beta 133.48
_cell_angle_gamma 90.00
_symmetry_space_group_name_H-M 'C 1 m 1'
_symmetry_Int_Tables_number 8
_symmetry_space_group_name_Hall 'C -2y'
loop_
_atom_site_label
_atom_site_fract_x
_atom_site_fract_y
_atom_site_fract_z
Ac1 0.0000 0.2154 0.0000
Ho1 0.0780 0.5000 0.4946
Zr1 0.1031 0.0000 0.5294
S1 0.0989 0.2460 0.5221
S2 0.2576 0.0000 0.3492
S3 0.3087 0.5000 0.0259
S4 0.4052 0.5000 0.6325
S5 0.4201 0.0000 0.9943


# GGA-PBE AcHoSb, optimized geometry
# Energy above the lowest structure with this stoichiometry: 0.0 kJ/mol of atoms
# Crystal system: tetragonal
# E: -5.059 eV per atom
data_AcHoSb
_chemical_formula_sum 'Ac2 Ho2 Sb2'
_cell_length_a 4.6921
_cell_length_b 4.6921
_cell_length_c 9.0804
_cell_angle_alpha 90.00
_cell_angle_beta 90.00
_cell_angle_gamma 90.00
_symmetry_space_group_name_H-M 'P 4/n m m'
_symmetry_Int_Tables_number 129
loop_
_symmetry_equiv_pos_as_xyz
'x,y,z'
'-x,-y,-z'
'-y+1/2,x,z'
'y+1/2,-x,-z'
'-x+1/2,-y+1/2,z'
'x+1/2,y+1/2,-z'
'y,-x+1/2,z'
'-y,x+1/2,-z'
'x+1/2,-y,-z'
'-x+1/2,y,z'
'-y,-x,-z'
'y,x,z'
'-x,y+1/2,-z'
'x,-y+1/2,z'
'y+1/2,x+1/2,-z'
'-y+1/2,-x+1/2,z'
loop_
_atom_site_label
_atom_site_fract_x
_atom_site_fract_y
_atom_site_fract_z
Ac1 0.2500 0.2500 0.1487
Ho1 0.2500 0.7500 0.5000
Sb1 0.2500 0.2500 0.7540


# GGA-PBE Ac5HoSb6, optimized geometry
# Crystal system: monoclinic
# E: -5.330 eV per atom
data_Ac5HoSb6
_chemical_formula_sum 'Ac10 Ho2 Sb12'
_cell_length_a 8.1973
_cell_length_b 14.2001
_cell_length_c 8.1995
_cell_angle_alpha 90.00
_cell_angle_beta 109.55
_cell_angle_gamma 90.00
_symmetry_space_group_name_H-M 'C 1 2/m 1'
_symmetry_Int_Tables_number 12
_symmetry_space_group_name_Hall '-C 2y'
loop_
_atom_site_label
_atom_site_fract_x
_atom_site_fract_y
_atom_site_fract_z
Ac1 0.0000 0.0000 0.0000
Ac2 0.0000 0.1654 0.5000
Ac3 0.0000 0.3300 0.0000
Ho1 0.0000 0.5000 0.5000
Sb1 0.2382 0.5000 0.2559
Sb2 0.2400 0.3398 0.7407


# GGA-PBE Ac2HoSb, optimized geometry
# Energy above the lowest structure with this stoichiometry: 50.5 kJ/mol of atoms
# Crystal system: trigonal
# E: -4.119 eV per atom
data_Ac2HoSb
_chemical_formula_sum 'Ac6 Ho3 Sb3'
_cell_length_a 3.7586
_cell_length_b 3.7586
_cell_length_c 38.2226
_cell_angle_alpha 90.00
_cell_angle_beta 90.00
_cell_angle_gamma 120.00
_symmetry_space_group_name_H-M 'R -3 m'
_symmetry_Int_Tables_number 166
_symmetry_space_group_name_Hall '-R 3 2"'
loop_
_atom_site_label
_atom_site_fract_x
_atom_site_fract_y
_atom_site_fract_z
Ac1 0.0000 0.0000 0.0870
Ho1 0.0000 0.0000 0.5000
Sb1 0.0000 0.0000 0.0000


# GGA-PBE Ac4HoSb5, optimized geometry
# Crystal system: tetragonal
# E: -5.326 eV per atom
data_Ac4HoSb5
_chemical_formula_sum 'Ac8 Ho2 Sb10'
_cell_length_a 10.5419
_cell_length_b 10.5419
_cell_length_c 6.6976
_cell_angle_alpha 90.00
_cell_angle_beta 90.00
_cell_angle_gamma 90.00
_symmetry_space_group_name_H-M 'I 4/m'
_symmetry_Int_Tables_number 87
_symmetry_space_group_name_Hall '-I 4'
loop_
_atom_site_label
_atom_site_fract_x
_atom_site_fract_y
_atom_site_fract_z
Ac1 0.0958 0.3000 0.0000
Ho1 0.0000 0.0000 0.5000
Sb1 0.0000 0.0000 0.0000
Sb2 0.0963 0.2870 0.5000


# GGA-PBE AcHoSb, optimized geometry
# Energy above the lowest structure with this stoichiometry: 29.7 kJ/mol of atoms
# Crystal system: hexagonal
# E: -4.752 eV per atom
data_AcHoSb
_chemical_formula_sum 'Ac1 Ho1 Sb1'
_cell_length_a 5.2243
_cell_length_b 5.2243
_cell_length_c 4.3663
_cell_angle_alpha 90.00
_cell_angle_beta 90.00
_cell_angle_gamma 120.00
_symmetry_space_group_name_H-M 'P -6 m 2'
_symmetry_Int_Tables_number 187
_symmetry_space_group_name_Hall 'P -6 2'
loop_
_atom_site_label
_atom_site_fract_x
_atom_site_fract_y
_atom_site_fract_z
Ac1 0.0000 0.0000 0.0000
Ho1 0.3333 0.6667 0.5000
Sb1 0.6667 0.3333 0.5000


no.,total moment (μB per formula unit)
1,0.00
2,0.15
3,0.00
4,0.00
5,0.00
6,0.00